Record 1
# TaNbGa4

A relaxed structure of TaNbGa4 (PBE-GGA, Alexandria).

The structure belongs to space group Cmmm (No. 65); the cell edges are 4.575, 7.745 and 5.538 Å and the angles 90.00°, 90.00° and 90.00°. The inequivalent atoms are Ta at (0.000, 0.000, 0.000), Nb at (0.000, 0.000, 0.500) and Ga at (0.000, 0.333, 0.249).

The calculation puts the formation energy from the elements at -56 meV per atom. The value obtained for the magnetic moment is 0.00 μB per formula unit. The crystal system is orthorhombic.


Record 2
# Pr6Nd2Dy3Ho

A relaxed structure of Pr6Nd2Dy3Ho (PBE-GGA, Alexandria).

The structure belongs to space group C2/m (No. 12); the cell edges are 6.339, 10.984 and 12.012 Å and the angles 90.00°, 100.13° and 90.00°. The inequivalent atoms are Pr at (0.248, 0.000, 0.247), Pr at (0.250, 0.166, 0.753), Nd at (0.000, 0.333, 0.500), Dy at (0.000, 0.167, 0.000), Dy at (0.000, 0.500, 0.000) and Ho at (0.000, 0.000, 0.500).

The calculation puts the formation energy from the elements at 13 meV per atom. The value obtained for the magnetic moment is 0.00 μB per formula unit. The crystal system is monoclinic.


Record 3
# Tm2TeS

A relaxed structure of Tm2TeS (PBE-GGA, Alexandria).

The structure belongs to space group Pmna (No. 53); the cell edges are 5.621, 6.283 and 11.259 Å and the angles 90.00°, 90.00° and 90.00°. The inequivalent atoms are Tm at (0.000, 0.181, 0.134), Tm at (0.000, 0.188, 0.607), Te at (0.000, 0.313, 0.871) and S at (0.000, 0.240, 0.371).

The energy above the lowest structure with this stoichiometry is 140 meV/atom. The value obtained for the magnetic moment is 0.00 μB per formula unit. The crystal system is orthorhombic.


Record 4
# TcRhS2

A relaxed structure of TcRhS2 (PBE-GGA, Alexandria).

The structure belongs to space group R-3m (No. 166, hexagonal axes); the cell edges are 3.0402, 3.0402 and 23.2987 Å and the angles 90.00°, 90.00° and 120.00°. The inequivalent atoms are Tc at (0.0000, 0.0000, 0.0000), Rh at (0.0000, 0.0000, 0.5000) and S at (0.0000, 0.0000, 0.4037).

The energy above the lowest structure with this stoichiometry is 33 meV/atom. The value obtained for the magnetic moment is 0.00 μB per formula unit. The crystal system is trigonal.


Record 5
# In2Mo2H

A relaxed structure of In2Mo2H (PBE-GGA, Alexandria).

The structure belongs to space group I4/mmm (No. 139); the cell edges are 3.984, 3.984 and 12.857 Å and the angles 90.00°, 90.00° and 90.00°. The inequivalent atoms are In at (0.000, 0.500, 0.250), Mo at (0.000, 0.000, 0.083) and H at (0.000, 0.000, 0.500).

The energy above the lowest structure with this stoichiometry is 895 meV/atom. The value obtained for the magnetic moment is 0.00 μB per formula unit. The crystal system is tetragonal.


Record 6
# Pr2NdY5Sc

A relaxed structure of Pr2NdY5Sc (PBE-GGA, Alexandria).

The structure belongs to space group Cmc2_1 (No. 36); the cell edges are 5.638, 19.986 and 10.516 Å and the angles 90.00°, 90.00° and 90.00°. The inequivalent atoms are Pr at (0.000, 0.112, 0.000), Pr at (0.000, 0.116, 0.420), Nd at (0.000, 0.412, 0.141), Y at (0.000, 0.016, 0.704), Y at (0.000, 0.274, 0.016), Y at (0.000, 0.296, 0.387), Y at (0.000, 0.370, 0.705), Y at (0.000, 0.482, 0.425) and Sc at (0.000, 0.194, 0.701).

The calculation puts the formation energy from the elements at 152 meV per atom. The value obtained for the magnetic moment is 0.00 μB per formula unit. The crystal system is orthorhombic.


Record 7
# PmMgZn

A relaxed structure of PmMgZn (PBE-GGA, Alexandria).

The structure belongs to space group Pmma (No. 51); the cell edges are 4.937, 3.406 and 8.601 Å and the angles 90.00°, 90.00° and 90.00°. The inequivalent atoms are Pm at (0.250, 0.000, 0.217), Mg at (0.250, 0.500, 0.586) and Zn at (0.250, 0.500, 0.912).

The calculation puts the formation energy from the elements at -201 meV per atom. The energy above the lowest structure with this stoichiometry is 64 meV/atom. The value obtained for the magnetic moment is 0.00 μB per formula unit. The crystal system is orthorhombic.


Record 8
# TlRh2Au2

A relaxed structure of TlRh2Au2 (PBE-GGA, Alexandria).

The structure belongs to space group I4/mmm (No. 139); the cell edges are 3.766, 3.766 and 13.898 Å and the angles 90.00°, 90.00° and 90.00°. The inequivalent atoms are Tl at (0.000, 0.000, 0.000), Rh at (0.000, 0.500, 0.250) and Au at (0.000, 0.000, 0.397).

The calculation puts the formation energy from the elements at 370 meV per atom. The energy above the lowest structure with this stoichiometry is 170 meV/atom. The value obtained for the magnetic moment is 1.94 μB per formula unit. The crystal system is tetragonal.


Record 9
# Cs4Ba3UO8

A relaxed structure of Cs4Ba3UO8 (PBE-GGA, Alexandria).

The structure belongs to space group R-3m (No. 166, hexagonal axes); the cell edges are 7.8808, 7.8808 and 20.7853 Å and the angles 90.00°, 90.00° and 120.00°. The inequivalent atoms are Cs at (0.0000, 0.0000, 0.0000), Cs at (0.0000, 0.5000, 0.0000), Ba at (0.0000, 0.5000, 0.5000), U at (0.0000, 0.0000, 0.5000), O at (0.0000, 0.0000, 0.2302) and O at (0.0717, 0.5358, 0.2232).

The calculation puts the calculated total energy at -0.4417 Ry/atom. The value obtained for the magnetic moment is 0.00 μB per formula unit. The crystal system is trigonal.


Record 10
# PPdCO2

A relaxed structure of PPdCO2 (PBE-GGA, Alexandria).

The structure belongs to space group P4/mmm (No. 123); the cell edges are 3.727, 3.727 and 5.223 Å and the angles 90.00°, 90.00° and 90.00°. The inequivalent atoms are P at (0.000, 0.000, 0.000), Pd at (0.000, 0.000, 0.500), C at (0.500, 0.500, 0.000) and O at (0.000, 0.500, 0.500).

The energy above the lowest structure with this stoichiometry is 552 meV/atom. The value obtained for the magnetic moment is 1.55 μB per formula unit. The crystal system is tetragonal.


Record 11
# Ca2TlCrN

A relaxed structure of Ca2TlCrN (PBE-GGA, Alexandria).

The structure belongs to space group P4/mmm (No. 123); the cell edges are 5.177, 5.177 and 3.860 Å and the angles 90.00°, 90.00° and 90.00°. The inequivalent atoms are Ca at (0.000, 0.500, 0.000), Tl at (0.000, 0.000, 0.500), Cr at (0.500, 0.500, 0.500) and N at (0.500, 0.500, 0.000).

The calculation puts the calculated total energy at -0.3925 Ry/atom. The value obtained for the magnetic moment is 2.87 μB per formula unit. The crystal system is tetragonal.


Record 12
# NdY2Hg

A relaxed structure of NdY2Hg (PBE-GGA, Alexandria).

The structure belongs to space group R-3m (No. 166, hexagonal axes); the cell edges are 3.6569, 3.6569 and 31.9435 Å and the angles 90.00°, 90.00° and 120.00°. The inequivalent atoms are Nd at (0.0000, 0.0000, 0.0000), Y at (0.0000, 0.0000, 0.2411) and Hg at (0.0000, 0.0000, 0.5000).

The calculation puts the formation energy from the elements at -183 meV per atom. The energy above the lowest structure with this stoichiometry is 62 meV/atom. The value obtained for the magnetic moment is 0.00 μB per formula unit. The crystal system is trigonal.


Record 13
# Tl2AuCl

A relaxed structure of Tl2AuCl (PBE-GGA, Alexandria).

The structure belongs to space group P4/mmm (No. 123); the cell edges are 4.381, 4.381 and 6.171 Å and the angles 90.00°, 90.00° and 90.00°. The inequivalent atoms are Tl at (0.000, 0.000, 0.000), Tl at (0.500, 0.500, 0.500), Au at (0.000, 0.000, 0.500) and Cl at (0.500, 0.500, 0.000).

The energy above the lowest structure with this stoichiometry is 0 meV/atom. The value obtained for the magnetic moment is 0.00 μB per formula unit. The crystal system is tetragonal.


Record 14
# Na5Hg3

A relaxed structure of Na5Hg3 (PBE-GGA, Alexandria).

The structure belongs to space group Pmmm (No. 47); the cell edges are 4.504, 4.961 and 9.787 Å and the angles 90.00°, 90.00° and 90.00°. The inequivalent atoms are Na at (0.000, 0.000, 0.000), Na at (0.000, 0.000, 0.500), Na at (0.000, 0.500, 0.233), Na at (0.500, 0.500, 0.500), Hg at (0.500, 0.000, 0.252) and Hg at (0.500, 0.500, 0.000).

The calculation puts the formation energy from the elements at -181 meV per atom. The energy above the lowest structure with this stoichiometry is 12 meV/atom. The value obtained for the magnetic moment is 0.00 μB per formula unit. The crystal system is orthorhombic.


Record 15
# Ce5SmSn4

A relaxed structure of Ce5SmSn4 (PBE-GGA, Alexandria).

The structure belongs to space group Pmmn (No. 59, origin choice 2); the cell edges are 11.096, 12.079 and 4.537 Å and the angles 90.00°, 90.00° and 90.00°. The inequivalent atoms are Ce at (0.058, 0.062, 0.244), Ce at (0.250, 0.750, 0.755), Sm at (0.250, 0.250, 0.747), Sn at (0.037, 0.750, 0.255) and Sn at (0.250, 0.501, 0.745).

The calculation puts the formation energy from the elements at -426 meV per atom. The value obtained for the magnetic moment is 5.02 μB per formula unit. The crystal system is orthorhombic.


Record 16
# NdDy2Rh

A relaxed structure of NdDy2Rh (PBE-GGA, Alexandria).

The structure belongs to space group Pnma (No. 62); the cell edges are 7.217, 9.550 and 6.428 Å and the angles 90.00°, 90.00° and 90.00°. The inequivalent atoms are Nd at (0.034, 0.250, 0.138), Dy at (0.176, 0.065, 0.669) and Rh at (0.118, 0.750, 0.428).

The calculation puts the formation energy from the elements at -495 meV per atom. The energy above the lowest structure with this stoichiometry is 0 meV/atom. The value obtained for the magnetic moment is 0.00 μB per formula unit. The crystal system is orthorhombic.


Record 17
# CrInCl2

A relaxed structure of CrInCl2 (PBE-GGA, Alexandria).

The structure belongs to space group R-3m (No. 166, hexagonal axes); the cell edges are 3.6049, 3.6049 and 26.7253 Å and the angles 90.00°, 90.00° and 120.00°. The inequivalent atoms are Cr at (0.0000, 0.0000, 0.0000), In at (0.0000, 0.0000, 0.5000) and Cl at (0.0000, 0.0000, 0.2788).

The energy above the lowest structure with this stoichiometry is 2 meV/atom. The value obtained for the magnetic moment is 4.32 μB per formula unit. The crystal system is trigonal.


Record 18
# CeNdCdPd

A relaxed structure of CeNdCdPd (PBE-GGA, Alexandria).

The structure belongs to space group F-43m (No. 216); the cell edges are 7.450, 7.450 and 7.450 Å and the angles 90.00°, 90.00° and 90.00°. The inequivalent atoms are Ce at (0.000, 0.000, 0.000), Nd at (0.000, 0.000, 0.500), Cd at (0.250, 0.250, 0.250) and Pd at (0.250, 0.250, 0.750).

The calculation puts the formation energy from the elements at -371 meV per atom. The value obtained for the magnetic moment is 0.94 μB per formula unit. The crystal system is cubic.


Record 19
# BaBPdO5

A relaxed structure of BaBPdO5 (PBE-GGA, Alexandria).

The structure belongs to space group C2/c (No. 15); the cell edges are 6.815, 9.277 and 7.159 Å and the angles 90.00°, 115.47° and 90.00°. The inequivalent atoms are Ba at (0.000, 0.149, 0.250), B at (0.000, 0.213, 0.750), Pd at (0.000, 0.500, 0.000), O at (0.000, 0.424, 0.250), O at (0.088, 0.293, 0.629) and O at (0.168, 0.104, 0.897).

The calculation puts the calculated total energy at -0.4599 Ry/atom. The value obtained for the magnetic moment is 1.01 μB per formula unit. The crystal system is monoclinic.


Record 20
# Zr2BeBr

A relaxed structure of Zr2BeBr (PBE-GGA, Alexandria).

The structure belongs to space group P4/mmm (No. 123); the cell edges are 3.155, 3.155 and 7.558 Å and the angles 90.00°, 90.00° and 90.00°. The inequivalent atoms are Zr at (0.000, 0.000, 0.212), Be at (0.500, 0.500, 0.000) and Br at (0.500, 0.500, 0.500).

The energy above the lowest structure with this stoichiometry is 113 meV/atom. The value obtained for the magnetic moment is 0.00 μB per formula unit. The crystal system is tetragonal.


Record 21
# LiCaAg2

A relaxed structure of LiCaAg2 (PBE-GGA, Alexandria).

The structure belongs to space group I-4m2 (No. 119); the cell edges are 4.332, 4.332 and 8.899 Å and the angles 90.00°, 90.00° and 90.00°. The inequivalent atoms are Li at (0.000, 0.000, 0.000), Ca at (0.000, 0.500, 0.750), Ag at (0.000, 0.000, 0.500) and Ag at (0.000, 0.500, 0.250).

The calculation puts the formation energy from the elements at -199 meV per atom. The energy above the lowest structure with this stoichiometry is 46 meV/atom. The value obtained for the magnetic moment is 0.00 μB per formula unit. The crystal system is tetragonal.


Record 22
# CrHg3Ru

A relaxed structure of CrHg3Ru (PBE-GGA, Alexandria).

The structure belongs to space group Pm-3m (No. 221); the cell edges are 5.138, 5.138 and 5.138 Å and the angles 90.00°, 90.00° and 90.00°. The inequivalent atoms are Cr at (0.000, 0.000, 0.000), Hg at (0.000, 0.500, 0.500) and Ru at (0.500, 0.500, 0.500).

The calculation puts the formation energy from the elements at 1526 meV per atom. The energy above the lowest structure with this stoichiometry is 0 meV/atom. The value obtained for the magnetic moment is 0.17 μB per formula unit. The crystal system is cubic.


Record 23
# BiIrOsPd

A relaxed structure of BiIrOsPd (PBE-GGA, Alexandria).

The structure belongs to space group Pmm2 (No. 25); the cell edges are 2.912, 4.493 and 5.376 Å and the angles 90.00°, 90.00° and 90.00°. The inequivalent atoms are Bi at (0.000, 0.000, 0.000), Ir at (0.500, 0.000, 0.476), Os at (0.000, 0.500, 0.355) and Pd at (0.500, 0.500, 0.790).

The calculation puts the formation energy from the elements at 473 meV per atom. The energy above the lowest structure with this stoichiometry is 90 meV/atom. The value obtained for the magnetic moment is 0.00 μB per formula unit. The crystal system is orthorhombic.


Record 24
# Ac2Ge3

A relaxed structure of Ac2Ge3 (PBE-GGA, Alexandria).

The structure belongs to space group Immm (No. 71); the cell edges are 4.498, 6.608 and 9.341 Å and the angles 90.00°, 90.00° and 90.00°. The inequivalent atoms are Ac at (0.000, 0.000, 0.223), Ge at (0.000, 0.300, 0.500) and Ge at (0.000, 0.500, 0.000).

The calculation puts the formation energy from the elements at -639 meV per atom. The energy above the lowest structure with this stoichiometry is 0 meV/atom. The value obtained for the magnetic moment is 0.00 μB per formula unit. The crystal system is orthorhombic.